Compound: RbMg3
Source: the Alexandria database
Functional: PBE
Structure: relaxed

Cell lengths 6.875, 6.875, 6.875 Å; angles 117.52, 117.52, 117.52 degrees
Fractional positions:
1 Rb 0.000 0.000 0.000
2 Mg 0.000 0.500 0.500
3 Mg 0.500 0.000 0.500
4 Mg 0.500 0.500 0.000

Output
Energy above the most stable polymorph in this dataset ... 0.1354 eV per atom
Mass density ... 2.0 Mg/m³
Volume ... 32.74 Å³ per atom
Space group ... R-3m
Energy relative to the elements ... 31 kJ per mole of atoms

---

Compound: RbMg3
Source: the Alexandria database
Functional: PBE
Structure: relaxed

Cell lengths 5.690, 5.690, 5.690 Å; angles 119.80, 119.80, 90.35 degrees
Fractional positions:
1 Rb 0.000 0.000 0.000
2 Mg 0.250 0.750 0.500
3 Mg 0.500 0.500 0.000
4 Mg 0.750 0.250 0.500

Output
Energy above the most stable polymorph in this dataset ... 0.1194 eV per atom
Mass density ... 2.0 Mg/m³
Volume ... 32.66 Å³ per atom
Space group ... I4/mmm
Energy relative to the elements ... 30 kJ per mole of atoms

---

Compound: Rb5Mg3
Source: the Alexandria database
Functional: PBE
Structure: relaxed

Cell lengths 11.750, 11.750, 11.703 Å; angles 95.73, 95.73, 143.09 degrees
Fractional positions:
1 Rb 0.000 0.000 0.000
2 Rb 0.033 0.669 0.201
3 Rb 0.168 0.967 0.635
4 Rb 0.332 0.533 0.365
5 Rb 0.467 0.832 0.800
6 Rb 0.500 0.500 0.000
7 Rb 0.533 0.332 0.365
8 Rb 0.669 0.033 0.201
9 Rb 0.832 0.467 0.800
10 Rb 0.967 0.168 0.635
11 Mg 0.000 0.500 0.500
12 Mg 0.086 0.414 0.000
13 Mg 0.414 0.086 0.000
14 Mg 0.500 0.000 0.500
15 Mg 0.586 0.586 0.672
16 Mg 0.914 0.914 0.328

Output
Energy above the most stable polymorph in this dataset ... 0.0000 eV per atom
Mass density ... 1.8 Mg/m³
Volume ... 57.55 Å³ per atom
Space group ... Cm
Energy relative to the elements ... 21 kJ per mole of atoms

---

Compound: RbMg2
Source: the Alexandria database
Functional: PBE
Structure: relaxed

Cell lengths 3.245, 10.247, 6.352 Å; angles 90.00, 90.00, 90.00 degrees
Fractional positions:
1 Rb 0.000 0.000 0.000
2 Rb 0.500 0.500 0.500
3 Mg 0.212 0.347 0.000
4 Mg 0.288 0.847 0.500
5 Mg 0.712 0.153 0.500
6 Mg 0.788 0.653 0.000

Output
Mass density ... 2.1 Mg/m³
Volume ... 35.20 Å³ per atom
Space group ... Pnnm
Energy relative to the elements ... 32 kJ per mole of atoms

---

Compound: RbMg3
Source: the Alexandria database
Functional: PBE
Structure: relaxed

Cell lengths 5.885, 11.241, 8.567 Å; angles 90.00, 90.00, 90.00 degrees
Fractional positions:
1 Rb 0.113 0.250 0.097
2 Rb 0.387 0.750 0.597
3 Rb 0.613 0.250 0.403
4 Rb 0.887 0.750 0.903
5 Mg 0.130 0.518 0.338
6 Mg 0.130 0.982 0.338
7 Mg 0.146 0.250 0.669
8 Mg 0.354 0.750 0.169
9 Mg 0.370 0.018 0.838
10 Mg 0.370 0.482 0.838
11 Mg 0.630 0.518 0.162
12 Mg 0.630 0.982 0.162
13 Mg 0.646 0.250 0.831
14 Mg 0.854 0.750 0.331
15 Mg 0.870 0.018 0.662
16 Mg 0.870 0.482 0.662

Output
Energy above the most stable polymorph in this dataset ... 0.0927 eV per atom
Mass density ... 1.9 Mg/m³
Volume ... 35.42 Å³ per atom
Space group ... Pnma
Energy relative to the elements ... 27 kJ per mole of atoms

---

Compound: Rb2Mg3
Source: the Alexandria database
Functional: PBE
Structure: relaxed

Cell lengths 5.234, 5.234, 10.758 Å; angles 90.00, 90.00, 120.00 degrees
Fractional positions:
1 Rb 0.333 0.667 0.197
2 Rb 0.667 0.333 0.803
3 Mg 0.000 0.000 0.500
4 Mg 0.333 0.667 0.544
5 Mg 0.667 0.333 0.456

Output
Energy above the most stable polymorph in this dataset ... 0.0000 eV per atom
Mass density ... 1.6 Mg/m³
Volume ... 51.05 Å³ per atom
Space group ... P-3m1
Energy relative to the elements ... 12 kJ per mole of atoms

---

Compound: Rb3Mg
Source: the Alexandria database
Functional: PBE
Structure: relaxed

Cell lengths 8.060, 8.060, 8.060 Å; angles 90.00, 90.00, 90.00 degrees
Fractional positions:
1 Rb 0.000 0.250 0.500
2 Rb 0.000 0.750 0.500
3 Rb 0.250 0.500 0.000
4 Rb 0.500 0.000 0.250
5 Rb 0.500 0.000 0.750
6 Rb 0.750 0.500 0.000
7 Mg 0.000 0.000 0.000
8 Mg 0.500 0.500 0.500

Output
Mass density ... 1.8 Mg/m³
Volume ... 65.46 Å³ per atom
Space group ... Pm-3n
Energy relative to the elements ... 18 kJ per mole of atoms

---

Compound: Rb6Mg
Source: the Alexandria database
Functional: PBE
Structure: relaxed

Cell lengths 11.001, 11.001, 11.001 Å; angles 109.47, 109.47, 109.47 degrees
Fractional positions:
1 Rb 0.250 0.500 0.750
2 Rb 0.250 0.750 0.500
3 Rb 0.500 0.250 0.750
4 Rb 0.500 0.750 0.250
5 Rb 0.750 0.250 0.500
6 Rb 0.750 0.500 0.250
7 Mg 0.000 0.000 0.000

Output
Mass density ... 0.9 Mg/m³
Volume ... 146.40 Å³ per atom
Space group ... Im-3m
Energy relative to the elements ... 43 kJ per mole of atoms

---

Compound: RbMg2
Source: the Alexandria database
Functional: PBE
Structure: relaxed

Cell lengths 20.429, 20.429, 20.429 Å; angles 165.61, 165.61, 20.41 degrees
Fractional positions:
1 Rb 0.295 0.545 0.750
2 Rb 0.455 0.705 0.750
3 Rb 0.545 0.295 0.250
4 Rb 0.705 0.455 0.250
5 Mg 0.083 0.833 0.250
6 Mg 0.126 0.376 0.750
7 Mg 0.167 0.917 0.250
8 Mg 0.376 0.126 0.250
9 Mg 0.624 0.874 0.750
10 Mg 0.833 0.083 0.750
11 Mg 0.874 0.624 0.250
12 Mg 0.917 0.167 0.750

Output
Mass density ... 1.7 Mg/m³
Volume ... 43.90 Å³ per atom
Space group ... I4_1/amd
Energy relative to the elements ... 21 kJ per mole of atoms

---

Compound: Rb3Mg4
Source: the Alexandria database
Functional: PBE
Structure: relaxed

Cell lengths 8.192, 8.192, 6.090 Å; angles 90.00, 90.00, 120.00 degrees
Fractional positions:
1 Rb 0.000 0.500 0.000
2 Rb 0.500 0.000 0.000
3 Rb 0.500 0.500 0.000
4 Mg 0.000 0.000 0.253
5 Mg 0.000 0.000 0.747
6 Mg 0.333 0.667 0.500
7 Mg 0.667 0.333 0.500

Output
Energy above the most stable polymorph in this dataset ... 0.2616 eV per atom
Mass density ... 1.7 Mg/m³
Volume ... 50.56 Å³ per atom
Space group ... P6/mmm
Energy relative to the elements ... 45 kJ per mole of atoms

---

Compound: Rb3Mg
Source: the Alexandria database
Functional: PBE
Structure: relaxed

Cell lengths 14.378, 14.378, 14.378 Å; angles 19.53, 19.53, 19.53 degrees
Fractional positions:
1 Rb 0.000 0.000 0.000
2 Rb 0.233 0.233 0.233
3 Rb 0.767 0.767 0.767
4 Mg 0.500 0.500 0.500

Output
Mass density ... 1.6 Mg/m³
Volume ... 72.60 Å³ per atom
Space group ... R-3m
Energy relative to the elements ... 20 kJ per mole of atoms

---

Compound: RbMg3
Source: the Alexandria database
Functional: PBE
Structure: relaxed

Cell lengths 5.885, 5.885, 10.267 Å; angles 90.00, 90.00, 120.00 degrees
Fractional positions:
1 Rb 0.333 0.667 0.250
2 Rb 0.667 0.333 0.750
3 Mg 0.000 0.000 0.250
4 Mg 0.000 0.000 0.750
5 Mg 0.333 0.667 0.598
6 Mg 0.333 0.667 0.902
7 Mg 0.667 0.333 0.098
8 Mg 0.667 0.333 0.402

Output
Energy above the most stable polymorph in this dataset ... 0.3257 eV per atom
Mass density ... 1.7 Mg/m³
Volume ... 38.49 Å³ per atom
Space group ... P6_3/mmc
Energy relative to the elements ... 49 kJ per mole of atoms

---

Compound: Rb5Mg3
Source: the Alexandria database
Functional: PBE
Structure: relaxed

Cell lengths 8.727, 8.727, 5.899 Å; angles 90.00, 90.00, 92.28 degrees
Fractional positions:
1 Rb 0.000 0.000 0.000
2 Rb 0.000 0.500 0.000
3 Rb 0.282 0.282 0.500
4 Rb 0.500 0.000 0.000
5 Rb 0.718 0.718 0.500
6 Mg 0.262 0.738 0.500
7 Mg 0.500 0.500 0.000
8 Mg 0.738 0.262 0.500

Output
Energy above the most stable polymorph in this dataset ... 0.0232 eV per atom
Mass density ... 1.9 Mg/m³
Volume ... 56.12 Å³ per atom
Space group ... Cmmm
Energy relative to the elements ... 24 kJ per mole of atoms

---

Compound: RbMg3
Source: the Alexandria database
Functional: PBE
Structure: relaxed

Cell lengths 5.486, 5.486, 8.051 Å; angles 94.88, 94.88, 34.90 degrees
Fractional positions:
1 Rb 0.000 0.000 0.000
2 Mg 0.237 0.237 0.667
3 Mg 0.500 0.500 0.500
4 Mg 0.763 0.763 0.333

Output
Energy above the most stable polymorph in this dataset ... 0.0369 eV per atom
Mass density ... 1.9 Mg/m³
Volume ... 34.53 Å³ per atom
Space group ... C2/m
Energy relative to the elements ... 22 kJ per mole of atoms

---

Compound: Rb3Mg
Source: the Alexandria database
Functional: PBE
Structure: relaxed

Cell lengths 4.834, 4.834, 14.144 Å; angles 90.00, 90.00, 120.00 degrees
Fractional positions:
1 Rb 0.000 0.000 0.000
2 Rb 0.667 0.333 0.299
3 Rb 0.667 0.333 0.701
4 Mg 0.000 0.000 0.500

Output
Mass density ... 1.6 Mg/m³
Volume ... 71.57 Å³ per atom
Space group ... P-6m2
Energy relative to the elements ... 20 kJ per mole of atoms

---

Compound: RbMg2
Source: the Alexandria database
Functional: PBE
Structure: relaxed

Cell lengths 5.297, 6.320, 7.627 Å; angles 66.03, 89.88, 89.98 degrees
Fractional positions:
1 Rb 0.000 0.000 0.000
2 Rb 0.500 0.478 0.995
3 Mg 0.493 0.098 0.538
4 Mg 0.493 0.642 0.452
5 Mg 0.993 0.380 0.456
6 Mg 0.993 0.840 0.541

Output
Mass density ... 1.9 Mg/m³
Volume ... 38.89 Å³ per atom
Space group ... P1
Energy relative to the elements ... 15 kJ per mole of atoms

---

Compound: RbMg2
Source: the Alexandria database
Functional: PBE
Structure: relaxed

Cell lengths 6.760, 6.760, 11.082 Å; angles 90.00, 90.00, 120.00 degrees
Fractional positions:
1 Rb 0.333 0.667 0.058
2 Rb 0.333 0.667 0.442
3 Rb 0.667 0.333 0.558
4 Rb 0.667 0.333 0.942
5 Mg 0.000 0.000 0.000
6 Mg 0.000 0.000 0.500
7 Mg 0.159 0.317 0.750
8 Mg 0.159 0.841 0.750
9 Mg 0.317 0.159 0.250
10 Mg 0.683 0.841 0.750
11 Mg 0.841 0.159 0.250
12 Mg 0.841 0.683 0.250

Output
Mass density ... 2.0 Mg/m³
Volume ... 36.55 Å³ per atom
Space group ... P6_3/mmc
Energy relative to the elements ... 16 kJ per mole of atoms

---

Compound: RbMg2
Source: the Alexandria database
Functional: PBE
Structure: relaxed

Cell lengths 9.716, 9.716, 6.485 Å; angles 90.00, 90.00, 158.50 degrees
Fractional positions:
1 Rb 0.110 0.890 0.750
2 Rb 0.890 0.110 0.250
3 Mg 0.209 0.791 0.250
4 Mg 0.430 0.570 0.750
5 Mg 0.570 0.430 0.250
6 Mg 0.791 0.209 0.750

Output
Mass density ... 2.0 Mg/m³
Volume ... 37.39 Å³ per atom
Space group ... Cmcm
Energy relative to the elements ... 30 kJ per mole of atoms

---

Compound: RbMg2
Source: the Alexandria database
Functional: PBE
Structure: relaxed

Cell lengths 10.096, 10.096, 10.096 Å; angles 149.48, 149.48, 43.71 degrees
Fractional positions:
1 Rb 0.375 0.625 0.750
2 Rb 0.625 0.375 0.250
3 Mg 0.042 0.792 0.250
4 Mg 0.208 0.958 0.250
5 Mg 0.792 0.042 0.750
6 Mg 0.958 0.208 0.750

Output
Mass density ... 1.7 Mg/m³
Volume ... 44.12 Å³ per atom
Space group ... I4_1/amd
Energy relative to the elements ... 28 kJ per mole of atoms

---

Compound: RbMg2
Source: the Alexandria database
Functional: PBE
Structure: relaxed

Cell lengths 8.762, 8.762, 8.762 Å; angles 90.00, 90.00, 90.00 degrees
Fractional positions:
1 Rb 0.000 0.000 0.000
2 Rb 0.000 0.500 0.500
3 Rb 0.500 0.000 0.500
4 Rb 0.500 0.500 0.000
5 Mg 0.101 0.601 0.899
6 Mg 0.101 0.899 0.399
7 Mg 0.399 0.101 0.899
8 Mg 0.399 0.399 0.399
9 Mg 0.601 0.601 0.601
10 Mg 0.601 0.899 0.101
11 Mg 0.899 0.101 0.601
12 Mg 0.899 0.399 0.101

Output
Mass density ... 1.3 Mg/m³
Volume ... 56.06 Å³ per atom
Space group ... Pa-3
Energy relative to the elements ... 66 kJ per mole of atoms

---

Number 1: N(E_F) 1.11 states/eV/f.u., total moment 0.00 Bohr magnetons per cell. Number 2: N(E_F) 3.22 states/eV/f.u., total moment 0.00 Bohr magnetons per cell. Number 3: N(E_F) 4.90 states/eV/f.u., total moment 0.00 Bohr magnetons per cell. Number 4: N(E_F) 1.46 states/eV/f.u., total moment 0.00 Bohr magnetons per cell. Number 5: N(E_F) 1.97 states/eV/f.u., total moment 0.00 Bohr magnetons per cell. Number 6: N(E_F) 2.69 states/eV/f.u., total moment 0.00 Bohr magnetons per cell. Number 7: N(E_F) 3.43 states/eV/f.u., total moment 0.00 Bohr magnetons per cell. Number 8: N(E_F) 6.61 states/eV/f.u., total moment 0.00 Bohr magnetons per cell. Number 9: N(E_F) 2.08 states/eV/f.u., total moment 0.00 Bohr magnetons per cell. Number 10: N(E_F) 4.81 states/eV/f.u., total moment 0.00 Bohr magnetons per cell. Number 11: N(E_F) 4.30 states/eV/f.u., total moment 0.00 Bohr magnetons per cell. Number 12: N(E_F) 3.52 states/eV/f.u., total moment 0.00 Bohr magnetons per cell. Number 13: N(E_F) 5.00 states/eV/f.u., total moment 0.00 Bohr magnetons per cell. Number 14: N(E_F) 2.14 states/eV/f.u., total moment 0.00 Bohr magnetons per cell. Number 15: N(E_F) 3.86 states/eV/f.u., total moment 0.00 Bohr magnetons per cell. Number 16: N(E_F) 1.84 states/eV/f.u., total moment 0.00 Bohr magnetons per cell. Number 17: N(E_F) 1.36 states/eV/f.u., total moment 0.00 Bohr magnetons per cell. Number 18: N(E_F) 2.09 states/eV/f.u., total moment 0.00 Bohr magnetons per cell. Number 19: N(E_F) 1.87 states/eV/f.u., total moment 0.00 Bohr magnetons per cell. Number 20: N(E_F) 3.18 states/eV/f.u., total moment 0.00 Bohr magnetons per cell.